Here is crystalline CsRbHfSe3 at its relaxed geometry from OQMD via LeMat-Bulk. Energies are from PBE.

Cell: 16.809 4.088 12.419 Å, 90.00 90.00 90.00°
Space group Pnma (No. 62)
Inequivalent atoms, fractional coordinates:
Cs: 0.200 0.250 0.214 x4
Rb: 0.109 0.250 0.563 x4
Hf: 0.042 0.750 0.862 x4
Se: 0.016 0.250 0.328 x4
Se: 0.062 0.750 0.082 x4
Se: 0.150 0.250 0.841 x4

Energy above the most stable polymorph in this dataset, meV/atom: 73
Calculated total energy, eV per atom: -4.9210